The following is a GGA-PBE calculation of a relaxed Pm4TlHg3 crystal, from Alexandria via LeMat-Bulk.

a = 3.8775 Å, b = 4.9550 Å, c = 12.0474 Å
α = 90.00°, β = 90.00°, γ = 90.00°
Space group Pmm2 (No. 25)
Inequivalent atoms, fractional coordinates:
Pm (0.0000, 0.0000, 0.0000)
Pm (0.0000, 0.5000, 0.2869)
Pm (0.5000, 0.0000, 0.4899)
Pm (0.5000, 0.5000, 0.7905)
Tl (0.0000, 0.0000, 0.7247)
Hg (0.0000, 0.5000, 0.5559)
Hg (0.5000, 0.0000, 0.2239)
Hg (0.5000, 0.5000, 0.0586)

**Raw total energy**: -3.1951 eV per atom
**Excess energy over the best structure of this formula in the dataset**: 39.0 meV/atom